1.
The following is a DFT calculation (GGA-PBEsol) of crystalline ScOsPb2 at its relaxed geometry.

Properties
energy of formation = 0.30 eV per atom
space-group type = No. 71
excess energy over the best structure of this formula in the dataset = 0.016 eV/atom
total moment = 0.00 μB/f.u.

Lattice parameters (Å, degrees): 5.7687 5.7687 5.7687 146.26 125.93 65.27
Last column: nearest neighbours and their distance in Å.
Atoms (fractional coordinates):
Sc1 0.0000 0.0000 0.0000  4 Os 3.11, 8 Pb 3.14-3.43, 2 Sc 3.35
Os1 0.5000 0.5000 0.0000  4 Pb 2.77
Pb1 0.2731 0.7731 0.5000  2 Os 2.77
Pb2 0.7269 0.2269 0.5000  2 Os 2.77

2.
The following is a DFT calculation (GGA-PBEsol) of crystalline ScOsPb2 at its relaxed geometry.

Properties
energy of formation = 0.28 eV per atom
space-group type = No. 12
excess energy over the best structure of this formula in the dataset = 0.000 eV/atom
total moment = 0.00 μB/f.u.

Lattice parameters (Å, degrees): 4.8565 4.8565 5.5001 101.06 101.06 40.81
Last column: nearest neighbours and their distance in Å.
Atoms (fractional coordinates):
Sc1 0.0000 0.0000 0.0000  6 Pb 2.88-3.04
Os1 0.5000 0.5000 0.5000  6 Pb 2.84-2.91
Pb1 0.2393 0.2393 0.7302  3 Os 2.84-2.91, 3 Sc 2.88-3.04, 2 Pb 3.09
Pb2 0.7607 0.7607 0.2698  3 Os 2.84-2.91, 3 Sc 2.88-3.04, 2 Pb 3.09

3.
The following is a DFT calculation (GGA-PBEsol) of crystalline Os2PbSe at its relaxed geometry.

Properties
space-group type = No. 12
excess energy over the best structure of this formula in the dataset = 0.000 eV/atom
total moment = 0.00 μB/f.u.

Lattice parameters (Å, degrees): 4.4334 4.4334 5.6557 101.50 101.50 39.66
Last column: nearest neighbours and their distance in Å.
Atoms (fractional coordinates):
Os1 0.2465 0.2465 0.1958  3 Se 2.59-2.60, 2 Os 2.69, 2 Pb 2.85
Os2 0.7535 0.7535 0.8042  3 Se 2.59-2.60, 2 Os 2.69, 2 Pb 2.85
Pb1 0.0000 0.0000 0.5000  6 Os 2.85-2.95, 2 Pb 3.01
Se1 0.5000 0.5000 0.0000  6 Os 2.59-2.60